Entry 1:
# La8HoTl2

An optimized crystal structure of La8HoTl2 (PBE, the Alexandria database).

abc: 5.283 9.066 9.580
angles: 118.24 106.02 90.00
Atoms (fractional coordinates):
1 La 0.661 0.883 0.321
2 La 0.339 0.562 0.679
3 La 0.146 0.146 0.292
4 La 0.000 0.325 0.000
5 La 0.854 0.854 0.708
6 La 0.661 0.438 0.321
7 La 0.339 0.117 0.679
8 La 0.000 0.675 0.000
9 Ho 0.500 0.000 0.000
10 Tl 0.194 0.694 0.387
11 Tl 0.806 0.306 0.613

Output
Crystal system: orthorhombic
ΔE to the lowest computed polymorph in meV per atom: 0
Energy relative to the elements in eV per formula unit: -1.08
Symmetry: Immm

=====

Entry 2:
# La8Ho2Tl

An optimized crystal structure of La8Ho2Tl (PBE, the Alexandria database).

abc: 5.594 10.527 8.506
angles: 51.77 89.87 89.79
Atoms (fractional coordinates):
1 La 0.502 0.700 0.272
2 La 0.502 0.972 0.728
3 La 0.000 0.661 0.000
4 La 0.000 0.742 0.511
5 La 0.000 0.253 0.489
6 La 0.000 0.332 0.000
7 La 0.498 0.022 0.272
8 La 0.498 0.294 0.728
9 Ho 0.500 0.376 0.242
10 Ho 0.500 0.618 0.758
11 Tl 0.000 0.997 0.000

Output
Crystal system: monoclinic
Energy relative to the elements in eV per formula unit: 0.55
Symmetry: C2/m

=====

Entry 3:
# LaHo6Tl

An optimized crystal structure of LaHo6Tl (PBE, the Alexandria database).

abc: 4.896 4.896 10.153
angles: 90.00 90.00 90.00
Atoms (fractional coordinates):
1 La 0.000 0.000 0.000
2 Ho 0.500 0.500 0.000
3 Ho 0.500 0.500 0.500
4 Ho 0.500 0.000 0.259
5 Ho 0.500 0.000 0.741
6 Ho 0.000 0.500 0.259
7 Ho 0.000 0.500 0.741
8 Tl 0.000 0.000 0.500

Output
Crystal system: tetragonal
Energy relative to the elements in eV per formula unit: -0.37
Symmetry: P4/mmm

=====

Entry 4:
# La4Ho3Tl4

An optimized crystal structure of La4Ho3Tl4 (PBE, the Alexandria database).

abc: 3.646 9.524 11.165
angles: 115.25 99.40 90.00
Atoms (fractional coordinates):
1 La 0.338 0.172 0.676
2 La 0.662 0.496 0.324
3 La 0.662 0.828 0.324
4 La 0.338 0.504 0.676
5 Ho 0.091 0.091 0.182
6 Ho 0.909 0.909 0.818
7 Ho 0.000 0.500 0.000
8 Tl 0.281 0.781 0.563
9 Tl 0.719 0.219 0.437
10 Tl 0.500 0.779 0.000
11 Tl 0.500 0.221 0.000

Output
Crystal system: orthorhombic
Energy relative to the elements in eV per formula unit: -2.99
Symmetry: Immm